Compound: CsAsIrO
Source: OQMD
Functional: PBE
Structure: optimized geometry

Unit cell a=3.998 b=3.998 c=12.227 alpha=90.00 beta=90.00 gamma=90.00
Space group P4/nmm (No. 129, origin choice 2)
Unique sites:
Cs (0.250, 0.250, 0.162) x2
As (0.250, 0.250, 0.617) x2
Ir (0.250, 0.750, 0.500) x2
O (0.250, 0.750, 0.000) x2

Properties
E   -40.6 eV for the cell shown

***

Compound: LuMgFeAs
Source: OQMD
Functional: PBE
Structure: optimized geometry

Unit cell a=6.482 b=6.482 c=6.482 alpha=90.00 beta=90.00 gamma=90.00
Space group F-43m (No. 216)
Unique sites:
Lu (0.000, 0.000, 0.000) x4
Mg (0.250, 0.250, 0.750) x4
Fe (0.000, 0.000, 0.500) x4
As (0.250, 0.250, 0.250) x4

Properties
E   -75.6 eV for the cell shown

***

Compound: Li3ReH6
Source: OQMD
Functional: PBE
Structure: optimized geometry

Unit cell a=6.948 b=6.948 c=6.948 alpha=90.00 beta=90.00 gamma=90.00
Space group Fm-3m (No. 225)
Unique sites:
Li (0.000, 0.000, 0.000) x4
Li (0.250, 0.250, 0.250) x8
Re (0.000, 0.000, 0.500) x4
H (0.000, 0.000, 0.250) x24

Properties
E   -155.5 eV for the cell shown

***

Compound: TaAgSn2
Source: OQMD
Functional: PBE
Structure: optimized geometry

Unit cell a=7.013 b=7.013 c=7.013 alpha=90.00 beta=90.00 gamma=90.00
Space group F-43m (No. 216)
Unique sites:
Ta (0.000, 0.000, 0.000) x4
Ag (0.250, 0.250, 0.250) x4
Sn (0.000, 0.000, 0.500) x4
Sn (0.250, 0.250, 0.750) x4

Properties
E   -80.8 eV for the cell shown

***

Compound: Nb4FeS8
Source: OQMD
Functional: PBE
Structure: optimized geometry

Unit cell a=6.6774 b=6.6774 c=12.0453 alpha=90.00 beta=90.00 gamma=120.00
Space group P6_3/mmc (No. 194)
Unique sites:
Nb (0.0000, 0.0000, 0.2500) x2
Nb (0.0117, 0.5059, 0.2500) x6
Fe (0.0000, 0.0000, 0.0000) x2
S (0.1672, 0.3344, 0.6196) x12
S (0.3333, 0.6667, 0.1164) x4

Properties
E   -189.7 eV for the cell shown

***

Compound: ZnPPdO
Source: OQMD
Functional: PBE
Structure: optimized geometry

Unit cell a=3.105 b=7.016 c=5.247 alpha=90.00 beta=90.00 gamma=90.00
Space group Pmc2_1 (No. 26)
Unique sites:
Zn (0.000, 0.201, 0.000) x2
P (0.000, 0.454, 0.415) x2
Pd (0.500, 0.216, 0.425) x2
O (0.500, 0.086, 0.841) x2

Properties
E   -37.2 eV for the cell shown

***

Compound: RbAcRe
Source: OQMD
Functional: PBE
Structure: optimized geometry

Unit cell a=7.495 b=7.495 c=7.495 alpha=90.00 beta=90.00 gamma=90.00
Space group F-43m (No. 216)
Unique sites:
Rb (0.000, 0.000, 0.000) x4
Ac (0.250, 0.250, 0.250) x4
Re (0.000, 0.000, 0.500) x4

Properties
E   -46.6 eV for the cell shown

***

Compound: Gd2Er3ScTe2Os
Source: OQMD
Functional: PBE
Structure: optimized geometry

Unit cell a=4.025 b=14.029 c=8.320 alpha=90.00 beta=90.00 gamma=90.00
Space group Amm2 (No. 38)
Unique sites:
Gd (0.000, 0.118, 0.000) x4
Er (0.500, 0.000, 0.716) x2
Er (0.500, 0.191, 0.316) x4
Sc (0.000, 0.000, 0.364) x2
Te (0.000, 0.164, 0.618) x4
Os (0.500, 0.000, 0.159) x2

Properties
E   -106.4 eV for the cell shown

***

Compound: GdHfNi
Source: OQMD
Functional: PBE
Structure: optimized geometry

Unit cell a=6.435 b=6.435 c=6.435 alpha=90.00 beta=90.00 gamma=90.00
Space group F-43m (No. 216)
Unique sites:
Gd (0.000, 0.000, 0.000) x4
Hf (0.250, 0.250, 0.750) x4
Ni (0.250, 0.250, 0.250) x4

Properties
Energy of formation   0.96 eV per atom

***

Compound: InAg3PbS4
Source: OQMD
Functional: PBE
Structure: optimized geometry

Unit cell a=6.125 b=6.125 c=6.125 alpha=90.00 beta=90.00 gamma=90.00
Space group P-43m (No. 215)
Unique sites:
In (0.000, 0.000, 0.000) x1
Ag (0.000, 0.500, 0.500) x3
Pb (0.500, 0.500, 0.500) x1
S (0.237, 0.237, 0.237) x4

Properties
E   -33.0 eV for the cell shown

***

Compound: Na4MgCdGe2
Source: OQMD
Functional: PBE
Structure: optimized geometry

Unit cell a=4.985 b=4.985 c=7.012 alpha=90.00 beta=90.00 gamma=90.00
Space group P-4m2 (No. 115)
Unique sites:
Na (0.000, 0.000, 0.000) x1
Na (0.000, 0.500, 0.746) x2
Na (0.500, 0.500, 0.500) x1
Mg (0.500, 0.500, 0.000) x1
Cd (0.000, 0.000, 0.500) x1
Ge (0.000, 0.500, 0.241) x2

Properties
E   -17.7 eV for the cell shown

***

Compound: Sr2MgOsS6
Source: OQMD
Functional: PBE
Structure: optimized geometry

Unit cell a=6.393 b=6.393 c=10.508 alpha=90.00 beta=90.00 gamma=90.00
Space group I4/m (No. 87)
Unique sites:
Sr (0.000, 0.500, 0.250) x4
Mg (0.000, 0.000, 0.000) x2
Os (0.000, 0.000, 0.500) x2
S (0.000, 0.000, 0.268) x4
S (0.159, 0.668, 0.500) x8

Properties
E   -101.1 eV for the cell shown

***

Number 3 is which compound?
Li3ReH6

***

What did the tenth record say?
Compound: InAg3PbS4
Source: OQMD
Functional: PBE
Structure: optimized geometry

Unit cell a=6.125 b=6.125 c=6.125 alpha=90.00 beta=90.00 gamma=90.00
Space group P-43m (No. 215)
Unique sites:
In (0.000, 0.000, 0.000) x1
Ag (0.000, 0.500, 0.500) x3
Pb (0.500, 0.500, 0.500) x1
S (0.237, 0.237, 0.237) x4

Properties
E   -33.0 eV for the cell shown

***

Please write out number 8 again, unchanged.
Compound: Gd2Er3ScTe2Os
Source: OQMD
Functional: PBE
Structure: optimized geometry

Unit cell a=4.025 b=14.029 c=8.320 alpha=90.00 beta=90.00 gamma=90.00
Space group Amm2 (No. 38)
Unique sites:
Gd (0.000, 0.118, 0.000) x4
Er (0.500, 0.000, 0.716) x2
Er (0.500, 0.191, 0.316) x4
Sc (0.000, 0.000, 0.364) x2
Te (0.000, 0.164, 0.618) x4
Os (0.500, 0.000, 0.159) x2

Properties
E   -106.4 eV for the cell shown